# 1
First-principles (meta-GGA SCAN) data for a crystal of MgSi2Hg relaxed with PBEsol, as listed in Alexandria via LeMat-Bulk. Values from VASP.

The structure in Quantum ESPRESSO input format:
```
&SYSTEM
  ibrav = 0, nat = 4, ntyp = 3
/
ATOMIC_SPECIES
Mg 24.30 Mg.upf
Si 28.09 Si.upf
Hg 200.59 Hg.upf
ATOMIC_POSITIONS angstrom
Mg 1.741 -5.702 -0.684
Si -0.847 -0.759 1.791
Si -1.229 -2.873 0.733
Hg 1.313 -3.751 1.588
CELL_PARAMETERS angstrom
-1.147 -0.985 2.388
-2.571 -1.724 -1.946
4.277 -5.932 -0.397
```

Output
E above lowest polymorph: 0 meV/atom
Formation energy (no corrections): 0.23 eV per atom

# 2
First-principles (meta-GGA SCAN) data for a crystal of MgSi2Hg relaxed with PBEsol, as listed in Alexandria via LeMat-Bulk. Values from VASP.

The structure in Quantum ESPRESSO input format:
```
&SYSTEM
  ibrav = 0, nat = 4, ntyp = 3
/
ATOMIC_SPECIES
Si 28.09 Si.upf
Hg 200.59 Hg.upf
Mg 24.30 Mg.upf
ATOMIC_POSITIONS angstrom
Si -0.548 -2.368 1.463
Si 0.000 0.000 0.000
Hg 0.898 -0.082 2.845
Mg 2.320 -1.691 0.992
CELL_PARAMETERS angstrom
-1.970 -0.758 3.316
0.874 -3.977 -0.390
3.767 0.595 2.374
```

Output
E above lowest polymorph: 136 meV/atom
Formation energy (no corrections): 0.37 eV per atom

# 3
First-principles (meta-GGA SCAN) data for a crystal of MgSi2Hg relaxed with PBEsol, as listed in Alexandria via LeMat-Bulk. Values from VASP.

The structure in Quantum ESPRESSO input format:
```
&SYSTEM
  ibrav = 0, nat = 4, ntyp = 3
/
ATOMIC_SPECIES
Mg 24.30 Mg.upf
Hg 200.59 Hg.upf
Si 28.09 Si.upf
ATOMIC_POSITIONS angstrom
Mg -1.607 -3.157 4.612
Hg 0.000 0.000 0.000
Si -2.410 -4.736 6.918
Si -0.803 -1.579 2.306
CELL_PARAMETERS angstrom
-1.173 0.172 4.598
-3.300 -2.949 1.720
1.260 -3.538 2.906
```

Output
E above lowest polymorph: 360 meV/atom
Formation energy (no corrections): 0.59 eV per atom

# 4
First-principles (meta-GGA SCAN) data for a crystal of Mg2SnHg2 relaxed with PBEsol, as listed in Alexandria via LeMat-Bulk. Values from VASP.

The structure in Quantum ESPRESSO input format:
```
&SYSTEM
  ibrav = 0, nat = 10, ntyp = 3
/
ATOMIC_SPECIES
Hg 200.59 Hg.upf
Mg 24.30 Mg.upf
Sn 118.71 Sn.upf
ATOMIC_POSITIONS angstrom
Hg 0.000 1.068 2.971
Hg 0.000 7.009 5.107
Hg 0.000 5.107 1.068
Hg 0.000 2.971 7.009
Mg 1.682 2.693 1.346
Mg 1.682 1.346 5.384
Mg 1.682 6.732 2.693
Mg 1.682 5.384 6.732
Sn 0.000 4.039 4.039
Sn 0.000 0.000 0.000
CELL_PARAMETERS angstrom
3.364 0.000 0.000
0.000 8.077 0.000
0.000 0.000 8.077
```

Output
E_form: -216 meV per atom

# 5
First-principles (meta-GGA SCAN) data for a crystal of SrMgHg relaxed with PBEsol, as listed in Alexandria via LeMat-Bulk. Values from VASP.

The structure in Quantum ESPRESSO input format:
```
&SYSTEM
  ibrav = 0, nat = 3, ntyp = 3
/
ATOMIC_SPECIES
Sr 87.62 Sr.upf
Hg 200.59 Hg.upf
Mg 24.30 Mg.upf
ATOMIC_POSITIONS angstrom
Sr -3.150 1.578 -0.073
Hg 0.000 0.000 0.000
Mg -2.103 -1.561 1.139
CELL_PARAMETERS angstrom
-1.144 3.227 2.310
-3.053 1.491 -3.595
-1.628 -3.086 3.506
```

Output
E_form: -480 meV per atom

# 6
First-principles (meta-GGA SCAN) data for a crystal of Sr2MgHg relaxed with PBEsol, as listed in Alexandria via LeMat-Bulk. Values from VASP.

The structure in Quantum ESPRESSO input format:
```
&SYSTEM
  ibrav = 0, nat = 4, ntyp = 3
/
ATOMIC_SPECIES
Mg 24.30 Mg.upf
Sr 87.62 Sr.upf
Hg 200.59 Hg.upf
ATOMIC_POSITIONS angstrom
Mg 0.000 0.000 0.000
Sr 0.750 -9.729 3.627
Sr 0.250 -3.243 1.209
Hg 0.500 -6.486 2.418
CELL_PARAMETERS angstrom
-0.204 -5.488 -1.398
3.390 -3.717 2.610
-2.185 -3.768 3.625
```

Output
E above lowest polymorph: 38 meV/atom
E_form: -344 meV per atom

# 7
First-principles (meta-GGA SCAN) data for a crystal of SrMgHg relaxed with PBEsol, as listed in Alexandria via LeMat-Bulk. Values from VASP.

The structure in Quantum ESPRESSO input format:
```
&SYSTEM
  ibrav = 0, nat = 3, ntyp = 3
/
ATOMIC_SPECIES
Hg 200.59 Hg.upf
Sr 87.62 Sr.upf
Mg 24.30 Mg.upf
ATOMIC_POSITIONS angstrom
Hg -3.267 -4.702 2.311
Sr -0.809 -3.158 0.008
Mg -2.831 -1.778 2.653
CELL_PARAMETERS angstrom
-1.537 -1.887 -2.904
2.383 -2.882 0.611
-4.299 -0.050 4.780
```

Output
E_form: -405 meV per atom

# 8
First-principles (meta-GGA SCAN) data for a crystal of Sr2MgHg relaxed with PBEsol, as listed in Alexandria via LeMat-Bulk. Values from VASP.

The structure in Quantum ESPRESSO input format:
```
&SYSTEM
  ibrav = 0, nat = 4, ntyp = 3
/
ATOMIC_SPECIES
Sr 87.62 Sr.upf
Mg 24.30 Mg.upf
Hg 200.59 Hg.upf
ATOMIC_POSITIONS angstrom
Sr -0.451 2.803 2.665
Sr 2.346 4.866 3.924
Mg 2.798 2.107 1.271
Hg 2.303 -0.427 2.563
CELL_PARAMETERS angstrom
-0.956 -0.931 3.649
5.557 -0.395 1.356
-2.254 6.331 -1.044
```

Output
E above lowest polymorph: 32 meV/atom
E_form: -351 meV per atom

# 9
First-principles (meta-GGA SCAN) data for a crystal of Sr2MgHg2 relaxed with PBEsol, as listed in Alexandria via LeMat-Bulk. Values from VASP.

The structure in Quantum ESPRESSO input format:
```
&SYSTEM
  ibrav = 0, nat = 10, ntyp = 3
/
ATOMIC_SPECIES
Sr 87.62 Sr.upf
Mg 24.30 Mg.upf
Hg 200.59 Hg.upf
ATOMIC_POSITIONS angstrom
Sr -2.574 2.325 5.065
Sr -6.518 -2.242 3.622
Sr -5.564 -0.006 7.274
Sr -3.529 0.089 1.413
Mg -3.010 -1.446 4.853
Mg 0.000 0.000 0.000
Hg -2.232 0.263 7.500
Hg -0.822 0.223 3.132
Hg -5.198 -3.116 6.574
Hg -3.788 -3.156 2.206
CELL_PARAMETERS angstrom
-3.073 2.975 -1.019
-5.959 -5.535 1.805
-0.061 2.643 7.901
```

Output
E_form: -542 meV per atom

# 10
First-principles (meta-GGA SCAN) data for a crystal of Sr2MgHg relaxed with PBEsol, as listed in Alexandria via LeMat-Bulk. Values from VASP.

The structure in Quantum ESPRESSO input format:
```
&SYSTEM
  ibrav = 0, nat = 4, ntyp = 3
/
ATOMIC_SPECIES
Sr 87.62 Sr.upf
Mg 24.30 Mg.upf
Hg 200.59 Hg.upf
ATOMIC_POSITIONS angstrom
Sr 0.000 0.000 1.880
Sr 0.000 0.000 6.231
Mg 2.001 2.001 4.055
Hg 2.001 2.001 0.000
CELL_PARAMETERS angstrom
4.002 0.000 0.000
0.000 4.002 0.000
0.000 0.000 8.110
```

Output
E above lowest polymorph: 0 meV/atom
E_form: -382 meV per atom

# 11
First-principles (meta-GGA SCAN) data for a crystal of Sr2MgHg relaxed with PBEsol, as listed in Alexandria via LeMat-Bulk. Values from VASP.

The structure in Quantum ESPRESSO input format:
```
&SYSTEM
  ibrav = 0, nat = 4, ntyp = 3
/
ATOMIC_SPECIES
Sr 87.62 Sr.upf
Mg 24.30 Mg.upf
Hg 200.59 Hg.upf
ATOMIC_POSITIONS angstrom
Sr 2.451 0.000 2.718
Sr 0.000 0.000 0.000
Mg 0.000 2.451 2.718
Hg 2.451 2.451 0.000
CELL_PARAMETERS angstrom
4.901 0.000 0.000
0.000 4.901 0.000
-2.451 -2.451 5.436
```

Output
E above lowest polymorph: 193 meV/atom
E_form: -189 meV per atom

# 12
First-principles (meta-GGA SCAN) data for a crystal of SrMgHg relaxed with PBEsol, as listed in Alexandria via LeMat-Bulk. Values from VASP.

The structure in Quantum ESPRESSO input format:
```
&SYSTEM
  ibrav = 0, nat = 3, ntyp = 3
/
ATOMIC_SPECIES
Mg 24.30 Mg.upf
Sr 87.62 Sr.upf
Hg 200.59 Hg.upf
ATOMIC_POSITIONS angstrom
Mg -4.488 1.171 4.576
Sr -2.244 0.586 2.288
Hg 0.000 0.000 0.000
CELL_PARAMETERS angstrom
-4.353 2.815 1.195
-3.837 -2.171 2.977
-0.785 1.699 4.980
```

Output
E_form: 116 meV per atom

# 13
First-principles (meta-GGA SCAN) data for a crystal of MgTa2Hg relaxed with PBEsol, as listed in Alexandria via LeMat-Bulk. Values from VASP.

The structure in Quantum ESPRESSO input format:
```
&SYSTEM
  ibrav = 0, nat = 4, ntyp = 3
/
ATOMIC_SPECIES
Mg 24.30 Mg.upf
Ta 180.95 Ta.upf
Hg 200.59 Hg.upf
ATOMIC_POSITIONS angstrom
Mg -6.634 -4.627 -3.075
Ta 0.000 0.000 0.000
Ta -2.211 -1.542 -1.025
Hg -4.423 -3.085 -2.050
CELL_PARAMETERS angstrom
-4.567 -1.011 0.552
-2.706 -0.807 -3.770
-1.572 -4.352 -0.883
```

Output
E above lowest polymorph: 317 meV/atom
E_form: 434 meV per atom

# 14
First-principles (meta-GGA SCAN) data for a crystal of MgTaHg relaxed with PBEsol, as listed in Alexandria via LeMat-Bulk. Values from VASP.

The structure in Quantum ESPRESSO input format:
```
&SYSTEM
  ibrav = 0, nat = 3, ntyp = 3
/
ATOMIC_SPECIES
Hg 200.59 Hg.upf
Mg 24.30 Mg.upf
Ta 180.95 Ta.upf
ATOMIC_POSITIONS angstrom
Hg 0.000 0.000 0.000
Mg -3.439 4.377 0.719
Ta -1.719 2.188 0.360
CELL_PARAMETERS angstrom
-0.221 4.444 1.094
-3.082 2.711 -2.037
-3.574 1.598 2.381
```

Output
E_form: 942 meV per atom

# 15
First-principles (meta-GGA SCAN) data for a crystal of MgTa2Hg relaxed with PBEsol, as listed in Alexandria via LeMat-Bulk. Values from VASP.

The structure in Quantum ESPRESSO input format:
```
&SYSTEM
  ibrav = 0, nat = 4, ntyp = 3
/
ATOMIC_SPECIES
Ta 180.95 Ta.upf
Mg 24.30 Mg.upf
Hg 200.59 Hg.upf
ATOMIC_POSITIONS angstrom
Ta 0.000 0.000 6.939
Ta 0.000 0.000 2.346
Mg 1.268 1.411 0.000
Hg 1.268 1.411 4.643
CELL_PARAMETERS angstrom
2.830 0.008 0.000
-0.294 2.814 0.000
0.000 0.000 9.285
```

Output
E above lowest polymorph: 217 meV/atom
E_form: 335 meV per atom

# 16
First-principles (meta-GGA SCAN) data for a crystal of MgTa3Hg relaxed with PBEsol, as listed in Alexandria via LeMat-Bulk. Values from VASP.

The structure in Quantum ESPRESSO input format:
```
&SYSTEM
  ibrav = 0, nat = 5, ntyp = 3
/
ATOMIC_SPECIES
Ta 180.95 Ta.upf
Hg 200.59 Hg.upf
Mg 24.30 Mg.upf
ATOMIC_POSITIONS angstrom
Ta 2.501 0.000 0.000
Ta 0.000 2.501 0.000
Ta 0.000 0.000 2.501
Hg 0.000 0.000 0.000
Mg 2.501 2.501 2.501
CELL_PARAMETERS angstrom
5.001 0.000 0.000
0.000 5.001 0.000
0.000 0.000 5.001
```

Output
E_form: 2020 meV per atom

# 17
First-principles (meta-GGA SCAN) data for a crystal of MgTa2Hg relaxed with PBEsol, as listed in Alexandria via LeMat-Bulk. Values from VASP.

The structure in Quantum ESPRESSO input format:
```
&SYSTEM
  ibrav = 0, nat = 4, ntyp = 3
/
ATOMIC_SPECIES
Hg 200.59 Hg.upf
Mg 24.30 Mg.upf
Ta 180.95 Ta.upf
ATOMIC_POSITIONS angstrom
Hg -0.412 -0.238 -1.351
Mg -1.732 -1.436 1.487
Ta -0.430 2.772 0.050
Ta -2.575 1.098 0.185
CELL_PARAMETERS angstrom
-0.824 -0.476 -2.702
-3.465 -2.872 2.973
-0.861 5.543 0.099
```

Output
E above lowest polymorph: 132 meV/atom
E_form: 250 meV per atom

# 18
First-principles (meta-GGA SCAN) data for a crystal of MgTa2Hg relaxed with PBEsol, as listed in Alexandria via LeMat-Bulk. Values from VASP.

The structure in Quantum ESPRESSO input format:
```
&SYSTEM
  ibrav = 0, nat = 4, ntyp = 3
/
ATOMIC_SPECIES
Ta 180.95 Ta.upf
Hg 200.59 Hg.upf
Mg 24.30 Mg.upf
ATOMIC_POSITIONS angstrom
Ta -1.833 -0.553 1.219
Ta -5.563 -1.678 3.699
Hg -0.873 1.729 -0.529
Mg -4.571 0.614 1.931
CELL_PARAMETERS angstrom
-0.073 2.625 1.081
-1.673 0.833 -2.138
-7.396 -2.231 4.918
```

Output
E above lowest polymorph: 217 meV/atom
E_form: 335 meV per atom

# 19
First-principles (meta-GGA SCAN) data for a crystal of Mg2TaHg relaxed with PBEsol, as listed in Alexandria via LeMat-Bulk. Values from VASP.

The structure in Quantum ESPRESSO input format:
```
&SYSTEM
  ibrav = 0, nat = 4, ntyp = 3
/
ATOMIC_SPECIES
Hg 200.59 Hg.upf
Ta 180.95 Ta.upf
Mg 24.30 Mg.upf
ATOMIC_POSITIONS angstrom
Hg -0.363 2.741 0.000
Ta 1.418 0.015 0.000
Mg 0.527 1.378 2.453
Mg -0.527 -1.378 2.453
CELL_PARAMETERS angstrom
2.836 0.030 0.000
-0.726 5.482 0.000
-1.055 -2.756 4.907
```

Output
E_form: 170 meV per atom

# 20
First-principles (meta-GGA SCAN) data for a crystal of MgTa2Hg relaxed with PBEsol, as listed in Alexandria via LeMat-Bulk. Values from VASP.

The structure in Quantum ESPRESSO input format:
```
&SYSTEM
  ibrav = 0, nat = 4, ntyp = 3
/
ATOMIC_SPECIES
Hg 200.59 Hg.upf
Mg 24.30 Mg.upf
Ta 180.95 Ta.upf
ATOMIC_POSITIONS angstrom
Hg 1.070 -2.087 3.883
Mg -0.148 -2.490 6.606
Ta 0.011 -0.022 0.041
Ta -1.209 -0.421 2.757
CELL_PARAMETERS angstrom
-0.836 2.308 1.471
-2.653 -1.062 0.160
2.142 -4.177 7.770
```

Output
E above lowest polymorph: 0 meV/atom
E_form: 118 meV per atom

no.,size of the total moment (Bohr magnetons per cell)
1,0.000
2,0.000
3,0.000
4,0.000
5,0.000
6,0.000
7,0.006
8,0.058
9,0.000
10,0.122
11,0.001
12,0.000
13,0.245
14,0.000
15,0.000
16,0.005
17,0.000
18,0.000
19,0.000
20,0.000